Entry 1:
An optimized crystal structure of Pm3PrTl2, computed with GGA-PBE.

Computed properties:
**ΔE_f**: -0.274 eV/atom
**Crystal system**: orthorhombic
**Size of the total moment**: 0.0 Bohr magnetons per cell

a = 5.2646 Å, b = 10.3279 Å, c = 6.9234 Å
α = 90.00°, β = 90.00°, γ = 90.00°
Space group Pmc2_1 (No. 26)
Symmetry-distinct sites (fractional):
Pm  0.0000  0.0440  0.0000
Pm  0.0000  0.3140  0.3688
Pm  0.5000  0.1827  0.7263
Pr  0.5000  0.4562  0.0987
Tl  0.0000  0.3627  0.8377
Tl  0.5000  0.1344  0.2567

***

Entry 2:
An optimized crystal structure of Pm2PrTl, computed with GGA-PBE.

Computed properties:
**ΔE_f**: -0.203 eV/atom
**Crystal system**: tetragonal
**Size of the total moment**: 0.0 Bohr magnetons per cell

a = 5.0042 Å, b = 5.0042 Å, c = 4.9514 Å
α = 90.00°, β = 90.00°, γ = 90.00°
Space group P4/mmm (No. 123)
Symmetry-distinct sites (fractional):
Pm  0.0000  0.5000  0.0000
Pr  0.0000  0.0000  0.5000
Tl  0.5000  0.5000  0.5000

***

Entry 3:
An optimized crystal structure of Pm2Pr7Tl2, computed with GGA-PBE.

Computed properties:
**ΔE_f**: -0.029 eV/atom
**Crystal system**: orthorhombic
**Size of the total moment**: 0.0 Bohr magnetons per cell

a = 3.7162 Å, b = 19.3771 Å, c = 10.7471 Å
α = 90.00°, β = 90.00°, γ = 90.00°
Space group Imm2 (No. 44)
Symmetry-distinct sites (fractional):
Pm  0.0000  0.0000  0.0000
Pm  0.0000  0.5000  0.1329
Pr  0.0000  0.1478  0.5233
Pr  0.0000  0.1662  0.1147
Pr  0.0000  0.3718  0.3306
Pr  0.0000  0.5000  0.8089
Tl  0.0000  0.2651  0.8278

***

Entry 4:
An optimized crystal structure of PmPrTl4, computed with GGA-PBE.

Computed properties:
**ΔE_f**: -0.294 eV/atom
**Crystal system**: triclinic
**Size of the total moment**: 0.0 Bohr magnetons per cell

a = 5.0816 Å, b = 5.0926 Å, c = 7.8513 Å
α = 89.56°, β = 89.67°, γ = 60.43°
Space group P-1 (No. 2)
Symmetry-distinct sites (fractional):
Pm  0.0000  0.0000  0.0000
Pr  0.0000  0.0000  0.5000
Tl  0.3334  0.3333  0.1813
Tl  0.3332  0.3333  0.6892

***

Entry 5:
An optimized crystal structure of PmPrTl, computed with GGA-PBE.

Computed properties:
**ΔE_f**: -0.169 eV/atom
**Crystal system**: trigonal
**Size of the total moment**: 0.0 Bohr magnetons per cell

a = 5.3830 Å, b = 5.3830 Å, c = 3.8278 Å
α = 90.00°, β = 90.00°, γ = 120.00°
Space group P3m1 (No. 156)
Symmetry-distinct sites (fractional):
Pm  0.0000  0.0000  0.0000
Pr  0.6667  0.3333  0.4489
Tl  0.3333  0.6667  0.7932

***

Entry 6:
An optimized crystal structure of PmPr7Tl2, computed with GGA-PBE.

Computed properties:
**ΔE_f**: 0.315 eV/atom
**Crystal system**: orthorhombic
**Size of the total moment**: 0.0 Bohr magnetons per cell

a = 9.4646 Å, b = 16.1597 Å, c = 5.4976 Å
α = 90.00°, β = 90.00°, γ = 90.00°
Space group Cmmm (No. 65)
Symmetry-distinct sites (fractional):
Pm  0.0000  0.0000  0.0000
Pr  0.0000  0.2243  0.0000
Pr  0.0000  0.5000  0.5000
Pr  0.1818  0.1201  0.5000
Tl  0.0000  0.3060  0.5000